Record 1
## Y2FeOs2 (PBE-GGA)

Data for crystalline Y2FeOs2 at its relaxed geometry.

Geometry as POSCAR:
```
Y2FeOs2
1.0
-5.905 -0.235 2.691
-1.370 -5.314 -3.472
1.646 -2.635 3.383
Fe Os Y
2 4 4
direct
0.500 0.500 0.000
0.000 0.000 0.000
0.367 0.867 0.000
0.133 0.367 0.000
0.867 0.633 0.000
0.633 0.133 0.000
0.679 0.821 0.500
0.179 0.679 0.500
0.821 0.321 0.500
0.321 0.179 0.500
```

Summary:
SG: No. 127
Formation energy from the elements, eV per formula unit: 0.333
Crystal system: tetragonal
Energy, eV per cell: -87.0

=====

Record 2
## YFeOs4 (PBE-GGA)

Data for crystalline YFeOs4 at its relaxed geometry.

Geometry as POSCAR:
```
YFeOs4
1.0
-4.928 -1.733 -0.396
-3.473 2.625 -2.914
-1.705 -2.039 -4.515
Os Y Fe
4 1 1
direct
0.375 0.375 0.876
0.876 0.375 0.375
0.375 0.375 0.375
0.375 0.876 0.375
0.750 0.750 0.750
0.000 0.000 0.000
```

Summary:
SG: No. 216
Formation energy from the elements, eV per formula unit: 1.511
Crystal system: cubic
Energy, eV per cell: -58.3

=====

Record 3
## YFe2Os (PBE-GGA)

Data for crystalline YFe2Os at its relaxed geometry.

Geometry as POSCAR:
```
YFe2Os
1.0
3.085 0.000 0.000
0.000 3.085 0.000
0.000 0.000 6.750
Fe Y Os
2 1 1
direct
0.000 0.000 0.060
0.500 0.500 0.244
0.500 0.500 0.755
0.000 0.000 0.440
```

Summary:
SG: No. 99
Formation energy from the elements, eV per formula unit: 0.799
Crystal system: tetragonal
Energy, eV per cell: -33.8
Relative energy among the computed polymorphs, meV/atom: 116.8

=====

Record 4
## YFe2Os (PBE-GGA)

Data for crystalline YFe2Os at its relaxed geometry.

Geometry as POSCAR:
```
YFe2Os
1.0
4.063 -0.793 0.485
2.692 3.146 0.485
1.654 0.576 5.062
Fe Os Y
2 1 1
direct
0.446 0.446 0.661
0.054 0.054 0.839
0.750 0.750 0.750
0.250 0.250 0.250
```

Summary:
SG: No. 12
Formation energy from the elements, eV per formula unit: 0.332
Crystal system: monoclinic
Energy, eV per cell: -34.3
Relative energy among the computed polymorphs, meV/atom: 0.0

=====

Record 5
## YFeOs3 (PBE-GGA)

Data for crystalline YFeOs3 at its relaxed geometry.

Geometry as POSCAR:
```
YFeOs3
1.0
-2.856 -3.308 -1.978
3.253 -3.389 0.972
-2.068 -0.762 4.261
Os Fe Y
3 1 1
direct
0.000 0.000 0.500
0.000 0.500 0.000
0.500 0.000 0.000
0.500 0.500 0.500
0.000 0.000 0.000
```

Summary:
SG: No. 221
Formation energy from the elements, eV per formula unit: 17.246
Crystal system: cubic
Energy, eV per cell: -31.4
Relative energy among the computed polymorphs, meV/atom: 2490.1

=====

Record 6
## YFeOs3 (PBE-GGA)

Data for crystalline YFeOs3 at its relaxed geometry.

Geometry as POSCAR:
```
YFeOs3
1.0
-0.894 4.173 1.414
1.090 -1.188 4.197
4.269 1.177 -0.776
Fe Os Y
1 3 1
direct
0.000 0.000 0.000
0.500 0.000 0.000
0.000 0.500 0.000
0.000 0.000 0.500
0.500 0.500 0.500
```

Summary:
SG: No. 221
Formation energy from the elements, eV per formula unit: 4.795
Crystal system: cubic
Energy, eV per cell: -43.8
Relative energy among the computed polymorphs, meV/atom: 0.0

=====

Record 7
## YFe4Os (PBE-GGA)

Data for crystalline YFe4Os at its relaxed geometry.

Geometry as POSCAR:
```
YFe4Os
1.0
2.222 -1.830 4.044
-2.073 0.624 4.467
-1.982 -3.879 2.380
Fe Os Y
4 1 1
direct
0.376 0.873 0.376
0.376 0.376 0.376
0.873 0.376 0.376
0.376 0.376 0.873
0.750 0.750 0.750
0.000 0.000 0.000
```

Summary:
SG: No. 216
Formation energy from the elements, eV per formula unit: 0.522
Crystal system: cubic
Energy, eV per cell: -51.0

=====

Record 8
## YFe2Os (PBE-GGA)

Data for crystalline YFe2Os at its relaxed geometry.

Geometry as POSCAR:
```
YFe2Os
1.0
2.898 -0.007 0.000
0.005 2.898 0.000
0.000 0.000 7.219
Os Y Fe
1 1 2
direct
0.500 0.500 0.250
0.500 0.500 0.750
0.000 0.000 0.453
0.000 0.000 0.047
```

Summary:
SG: No. 123
Formation energy from the elements, eV per formula unit: 1.339
Crystal system: tetragonal
Energy, eV per cell: -33.3
Relative energy among the computed polymorphs, meV/atom: 251.6

=====

Record 9
## YFe2Os (PBE-GGA)

Data for crystalline YFe2Os at its relaxed geometry.

Geometry as POSCAR:
```
YFe2Os
1.0
9.096 0.021 0.013
8.638 2.850 0.013
8.638 1.398 2.483
Fe Os Y
2 1 1
direct
0.987 0.987 0.987
0.253 0.253 0.253
0.513 0.513 0.513
0.748 0.748 0.748
```

Summary:
SG: No. 160
Formation energy from the elements, eV per formula unit: 2.144
Crystal system: trigonal
Energy, eV per cell: -32.5
Relative energy among the computed polymorphs, meV/atom: 453.0

=====

Record 10
## Y3FeOs (PBE-GGA)

Data for crystalline Y3FeOs at its relaxed geometry.

Geometry as POSCAR:
```
Y3FeOs
1.0
-1.726 -0.720 -5.001
3.480 -4.001 -0.624
-3.663 -3.461 1.763
Y Fe Os
3 1 1
direct
0.500 0.000 0.000
0.000 0.500 0.000
0.000 0.000 0.500
0.500 0.500 0.500
0.000 0.000 0.000
```

Summary:
SG: No. 221
Formation energy from the elements, eV per formula unit: 2.451
Crystal system: cubic
Energy, eV per cell: -36.6
Relative energy among the computed polymorphs, meV/atom: 0.0

=====

Record 11
## YFe2Os (PBE-GGA)

Data for crystalline YFe2Os at its relaxed geometry.

Geometry as POSCAR:
```
YFe2Os
1.0
4.431 -0.021 0.000
0.019 4.431 0.000
0.000 0.000 3.153
Fe Os Y
2 1 1
direct
0.000 0.000 0.000
0.500 0.500 0.000
0.500 0.000 0.500
0.000 0.500 0.500
```

Summary:
SG: No. 123
Formation energy from the elements, eV per formula unit: 1.146
Crystal system: tetragonal
Energy, eV per cell: -33.5
Relative energy among the computed polymorphs, meV/atom: 203.3

=====

Record 12
## YFe2Os (PBE-GGA)

Data for crystalline YFe2Os at its relaxed geometry.

Geometry as POSCAR:
```
YFe2Os
1.0
4.115 0.000 0.000
0.000 2.828 -0.004
0.000 1.448 5.578
Y Fe Os
1 2 1
direct
0.500 0.750 0.750
0.000 0.994 0.059
0.000 0.506 0.441
0.500 0.250 0.250
```

Summary:
SG: No. 10
Formation energy from the elements, eV per formula unit: 1.182
Crystal system: monoclinic
Energy, eV per cell: -33.4
Relative energy among the computed polymorphs, meV/atom: 212.5